First-principles (SCAN) data for a crystal of YBiPd3 relaxed with PBEsol, as listed in Alexandria.

The structure in POSCAR format:
```
YBiPd3
1.0
4.954 0.000 0.000
0.000 4.954 0.000
0.000 0.000 4.954
Y Bi Pd
1 1 3
direct
0.000 0.000 0.000
0.500 0.500 0.500
0.000 0.500 0.500
0.500 0.000 0.500
0.500 0.500 0.000
```

Properties
total moment = 0.000 μB/f.u.
formation energy from the elements = 0.018 eV per atom
calculated total energy = -40.93 eV/atom
volume = 24.311 Å³/atom